# 1
VASP calculation (PBE-GGA) on TlZnCr2W after structural relaxation.

Properties
Its calculated formation energy is 203.3 kJ per mole of atoms.

a b c (Å): 5.080 5.080 4.767
angles (deg): 90.00 90.00 90.00
Space group P4/mmm (No. 123)
Inequivalent atoms, fractional coordinates:
Tl 0.000 0.000 0.000 x1
Zn 0.000 0.000 0.500 x1
Cr 0.000 0.500 0.000 x2
W 0.500 0.500 0.500 x1


# 2
VASP calculation (PBE-GGA) on GdScSn after structural relaxation.

Properties
Its calculated formation energy is -39.8 kJ per mole of atoms.

a b c (Å): 4.9730 4.9730 3.7748
angles (deg): 90.00 90.00 120.00
Space group P3m1 (No. 156)
Inequivalent atoms, fractional coordinates:
Gd 0.0000 0.0000 0.0000 x1
Sc 0.3333 0.6667 0.4997 x1
Sn 0.6667 0.3333 0.5012 x1


# 3
VASP calculation (PBE-GGA) on La2RuCl after structural relaxation.

Properties
The uncorrected formation energy is -0.86 eV/atom.

a b c (Å): 3.577 3.798 15.830
angles (deg): 90.00 90.00 90.00
Space group Imm2 (No. 44)
Inequivalent atoms, fractional coordinates:
La 0.000 0.000 0.000 x2
La 0.000 0.500 0.283 x2
Ru 0.000 0.500 0.879 x2
Cl 0.000 0.000 0.622 x2


# 4
VASP calculation (PBE-GGA) on Pm12Au6C after structural relaxation.

Properties
Its calculated formation energy is -40.1 kJ per mole of atoms.

a b c (Å): 12.4348 12.4348 12.5432
angles (deg): 90.00 90.00 120.00
Space group R-3 (No. 148, hexagonal axes)
Inequivalent atoms, fractional coordinates:
Pm 0.0297 0.2045 0.3941 x18
Pm 0.0720 0.1874 0.8790 x18
Au 0.0423 0.4293 0.3040 x18
C 0.0000 0.0000 0.0000 x3